An optimized crystal structure of AgSb2W, computed with PBEsol.

abc: 3.441 4.500 5.418
angles: 90.00 108.52 90.00
Element x y z (fractional)
1 Sb 0.978 0.500 0.956
2 Sb 0.263 0.000 0.525
3 Ag 0.714 0.500 0.427
4 W 0.546 0.000 0.091

Computed properties:
volume	19.9	A^3/atom
energy relative to the elements, uncorrected	0.422	eV per atom
uncorrected energy	-6.14	eV per atom
DOS at the Fermi energy	0.78	states/eV/atom
energy above the lowest structure with this stoichiometry	0	meV per atom
total magnetic moment	0.00	μB/cell